Density functional theory data (GGA-PBE) for a relaxed structure of La2AgPd2.

CIF file:
```
data_La2AgPd2
_symmetry_space_group_name_H-M 'I 4/m m m'
_symmetry_Int_Tables_number 139
_symmetry_space_group_name_Hall '-I 4 2'
_cell_length_a 5.641
_cell_length_b 5.641
_cell_length_c 8.223
_cell_angle_alpha 90.00
_cell_angle_beta 90.00
_cell_angle_gamma 90.00
loop_
_atom_site_label
_atom_site_type_symbol
_atom_site_fract_x
_atom_site_fract_y
_atom_site_fract_z
La1 La 0.000 0.500 0.250
Ag1 Ag 0.000 0.000 0.000
Pd1 Pd 0.000 0.000 0.340
```

Calculated values
DFT total energy: -5.18 eV/atom
E above lowest polymorph: 0.143 eV per atom
energy relative to the elements: -2.8 eV per formula unit



Density functional theory data (GGA-PBE) for a relaxed structure of LaAgPd3.

CIF file:
```
data_LaAgPd3
_symmetry_space_group_name_H-M 'P m -3 m'
_symmetry_Int_Tables_number 221
_symmetry_space_group_name_Hall '-P 4 2 3'
_cell_length_a 4.934
_cell_length_b 4.934
_cell_length_c 4.934
_cell_angle_alpha 90.00
_cell_angle_beta 90.00
_cell_angle_gamma 90.00
loop_
_atom_site_label
_atom_site_type_symbol
_atom_site_fract_x
_atom_site_fract_y
_atom_site_fract_z
La1 La 0.000 0.000 0.000
Ag1 Ag 0.500 0.500 0.500
Pd1 Pd 0.000 0.500 0.500
```

Calculated values
DFT total energy: -4.56 eV/atom
E above lowest polymorph: 0.000 eV per atom
energy relative to the elements: 0.6 eV per formula unit



Density functional theory data (GGA-PBE) for a relaxed structure of La3Ag2Pd.

CIF file:
```
data_La3Ag2Pd
_symmetry_space_group_name_H-M 'C m m m'
_symmetry_Int_Tables_number 65
_symmetry_space_group_name_Hall '-C 2 2'
_cell_length_a 5.324
_cell_length_b 15.905
_cell_length_c 3.798
_cell_angle_alpha 90.00
_cell_angle_beta 90.00
_cell_angle_gamma 90.00
loop_
_atom_site_label
_atom_site_type_symbol
_atom_site_fract_x
_atom_site_fract_y
_atom_site_fract_z
La1 La 0.000 0.000 0.000
La2 La 0.000 0.347 0.000
Ag1 Ag 0.000 0.180 0.500
Pd1 Pd 0.000 0.500 0.500
```

Calculated values
DFT total energy: -4.71 eV/atom
energy relative to the elements: -2.6 eV per formula unit



Density functional theory data (GGA-PBE) for a relaxed structure of LaAgPd3.

CIF file:
```
data_LaAgPd3
_symmetry_space_group_name_H-M 'P m -3 m'
_symmetry_Int_Tables_number 221
_symmetry_space_group_name_Hall '-P 4 2 3'
_cell_length_a 5.145
_cell_length_b 5.145
_cell_length_c 5.145
_cell_angle_alpha 90.00
_cell_angle_beta 90.00
_cell_angle_gamma 90.00
loop_
_atom_site_label
_atom_site_type_symbol
_atom_site_fract_x
_atom_site_fract_y
_atom_site_fract_z
La1 La 0.000 0.000 0.000
Ag1 Ag 0.500 0.500 0.500
Pd1 Pd 0.000 0.000 0.500
```

Calculated values
DFT total energy: -4.07 eV/atom
E above lowest polymorph: 0.491 eV per atom
energy relative to the elements: 3.0 eV per formula unit



Density functional theory data (GGA-PBE) for a relaxed structure of La2AgPd2.

CIF file:
```
data_La2AgPd2
_symmetry_space_group_name_H-M 'P 4/m b m'
_symmetry_Int_Tables_number 127
_symmetry_space_group_name_Hall '-P 4 2ab'
_cell_length_a 8.324
_cell_length_b 8.324
_cell_length_c 3.762
_cell_angle_alpha 90.00
_cell_angle_beta 90.00
_cell_angle_gamma 90.00
loop_
_atom_site_label
_atom_site_type_symbol
_atom_site_fract_x
_atom_site_fract_y
_atom_site_fract_z
La1 La 0.165 0.335 0.000
Ag1 Ag 0.000 0.000 0.000
Pd1 Pd 0.126 0.626 0.500
```

Calculated values
DFT total energy: -5.05 eV/atom
E above lowest polymorph: 0.270 eV per atom
energy relative to the elements: -2.2 eV per formula unit



Density functional theory data (GGA-PBE) for a relaxed structure of La3AgPd.

CIF file:
```
data_La3AgPd
_symmetry_space_group_name_H-M 'P -1'
_symmetry_Int_Tables_number 2
_symmetry_space_group_name_Hall '-P 1'
_cell_length_a 5.811
_cell_length_b 6.696
_cell_length_c 8.563
_cell_angle_alpha 97.89
_cell_angle_beta 101.67
_cell_angle_gamma 113.10
loop_
_atom_site_label
_atom_site_type_symbol
_atom_site_fract_x
_atom_site_fract_y
_atom_site_fract_z
La1 La 0.054 0.181 0.330
La2 La 0.300 0.811 0.117
La3 La 0.313 0.460 0.738
Ag1 Ag 0.355 0.761 0.477
Pd1 Pd 0.225 0.201 0.997
```

Calculated values
DFT total energy: -4.95 eV/atom
E above lowest polymorph: 0.000 eV per atom
energy relative to the elements: -1.9 eV per formula unit



Density functional theory data (GGA-PBE) for a relaxed structure of LaAgPd2.

CIF file:
```
data_LaAgPd2
_symmetry_space_group_name_H-M 'P 4/m m m'
_symmetry_Int_Tables_number 123
_symmetry_space_group_name_Hall '-P 4 2'
_cell_length_a 3.665
_cell_length_b 3.665
_cell_length_c 6.100
_cell_angle_alpha 90.00
_cell_angle_beta 90.00
_cell_angle_gamma 90.00
loop_
_atom_site_label
_atom_site_type_symbol
_atom_site_fract_x
_atom_site_fract_y
_atom_site_fract_z
La1 La 0.000 0.000 0.000
Ag1 Ag 0.000 0.000 0.500
Pd1 Pd 0.500 0.500 0.267
```

Calculated values
DFT total energy: -5.02 eV/atom
E above lowest polymorph: 0.091 eV per atom
energy relative to the elements: -1.9 eV per formula unit



Density functional theory data (GGA-PBE) for a relaxed structure of La6AgPd3.

CIF file:
```
data_La6AgPd3
_symmetry_space_group_name_H-M 'P 1 21/m 1'
_symmetry_Int_Tables_number 11
_symmetry_space_group_name_Hall '-P 2yb'
_cell_length_a 11.423
_cell_length_b 4.136
_cell_length_c 13.548
_cell_angle_alpha 90.00
_cell_angle_beta 110.87
_cell_angle_gamma 90.00
loop_
_atom_site_label
_atom_site_type_symbol
_atom_site_fract_x
_atom_site_fract_y
_atom_site_fract_z
La1 La 0.022 0.250 0.383
La2 La 0.065 0.250 0.901
La3 La 0.237 0.750 0.318
La4 La 0.328 0.750 0.799
La5 La 0.336 0.750 0.087
La6 La 0.381 0.250 0.563
Ag1 Ag 0.430 0.250 0.284
Pd1 Pd 0.144 0.250 0.141
Pd2 Pd 0.186 0.750 0.543
Pd3 Pd 0.403 0.250 0.961
```

Calculated values
DFT total energy: -5.28 eV/atom
energy relative to the elements: -4.8 eV per formula unit



Density functional theory data (GGA-PBE) for a relaxed structure of LaAgPd6.

CIF file:
```
data_LaAgPd6
_symmetry_space_group_name_H-M 'P m -3'
_symmetry_Int_Tables_number 200
_symmetry_space_group_name_Hall '-P 2 2 3'
_cell_length_a 5.237
_cell_length_b 5.237
_cell_length_c 5.237
_cell_angle_alpha 90.00
_cell_angle_beta 90.00
_cell_angle_gamma 90.00
loop_
_atom_site_label
_atom_site_type_symbol
_atom_site_fract_x
_atom_site_fract_y
_atom_site_fract_z
La1 La 0.000 0.000 0.000
Ag1 Ag 0.500 0.500 0.500
Pd1 Pd 0.000 0.255 0.500
```

Calculated values
DFT total energy: -5.10 eV/atom
energy relative to the elements: -1.9 eV per formula unit



Density functional theory data (GGA-PBE) for a relaxed structure of La12Ag6Pd.

CIF file:
```
data_La12Ag6Pd
_symmetry_space_group_name_H-M 'R -3'
_symmetry_Int_Tables_number 148
_symmetry_space_group_name_Hall '-R 3'
_cell_length_a 11.6195
_cell_length_b 11.6195
_cell_length_c 14.1094
_cell_angle_alpha 90.00
_cell_angle_beta 90.00
_cell_angle_gamma 120.00
loop_
_atom_site_label
_atom_site_type_symbol
_atom_site_fract_x
_atom_site_fract_y
_atom_site_fract_z
La1 La 0.0380 0.1913 0.3293
La2 La 0.0559 0.8441 0.8970
Ag1 Ag 0.0372 0.4415 0.2083
Pd1 Pd 0.0000 0.0000 0.5000
```

Calculated values
DFT total energy: -4.41 eV/atom
energy relative to the elements: -2.4 eV per formula unit



Density functional theory data (GGA-PBE) for a relaxed structure of La3AgPd.

CIF file:
```
data_La3AgPd
_symmetry_space_group_name_H-M 'C 1 2/m 1'
_symmetry_Int_Tables_number 12
_symmetry_space_group_name_Hall '-C 2y'
_cell_length_a 10.873
_cell_length_b 7.055
_cell_length_c 8.556
_cell_angle_alpha 90.00
_cell_angle_beta 113.79
_cell_angle_gamma 90.00
loop_
_atom_site_label
_atom_site_type_symbol
_atom_site_fract_x
_atom_site_fract_y
_atom_site_fract_z
La1 La 0.016 0.000 0.238
La2 La 0.191 0.500 0.864
La3 La 0.197 0.500 0.328
Ag1 Ag 0.000 0.297 0.500
Pd1 Pd 0.000 0.297 0.000
```

Calculated values
DFT total energy: -4.95 eV/atom
E above lowest polymorph: 0.002 eV per atom
energy relative to the elements: -1.9 eV per formula unit



Density functional theory data (GGA-PBE) for a relaxed structure of LaAgPd.

CIF file:
```
data_LaAgPd
_symmetry_space_group_name_H-M 'F -4 3 m'
_symmetry_Int_Tables_number 216
_symmetry_space_group_name_Hall 'F -4 2 3'
_cell_length_a 6.808
_cell_length_b 6.808
_cell_length_c 6.808
_cell_angle_alpha 90.00
_cell_angle_beta 90.00
_cell_angle_gamma 90.00
loop_
_atom_site_label
_atom_site_type_symbol
_atom_site_fract_x
_atom_site_fract_y
_atom_site_fract_z
La1 La 0.000 0.000 0.000
Ag1 Ag 0.000 0.000 0.500
Pd1 Pd 0.250 0.250 0.750
```

Calculated values
DFT total energy: -4.80 eV/atom
E above lowest polymorph: 0.127 eV per atom
energy relative to the elements: -1.4 eV per formula unit